1.
First-principles (GGA-PBEsol) data for EuMnO3 after structural relaxation, as listed in Alexandria.

Cell lengths 5.378, 7.599, 5.380 Å; angles 90.00, 90.00, 90.00 degrees
Atoms (fractional coordinates):
Eu (0.030, 0.250, 0.005)
Eu (0.470, 0.750, 0.505)
Eu (0.530, 0.250, 0.495)
Eu (0.970, 0.750, 0.995)
Mn (0.000, 0.000, 0.500)
Mn (0.000, 0.500, 0.500)
Mn (0.500, 0.000, 0.000)
Mn (0.500, 0.500, 0.000)
O (0.009, 0.750, 0.438)
O (0.219, 0.533, 0.781)
O (0.219, 0.967, 0.781)
O (0.281, 0.033, 0.281)
O (0.281, 0.467, 0.281)
O (0.491, 0.250, 0.938)
O (0.509, 0.750, 0.062)
O (0.719, 0.533, 0.719)
O (0.719, 0.967, 0.719)
O (0.781, 0.033, 0.219)
O (0.781, 0.467, 0.219)
O (0.991, 0.250, 0.562)

Final energy, eV/atom: -9.639
DOS at the Fermi energy, states/eV/atom: 2.073
Volume, Å³/atom: 10.99


2.
First-principles (GGA-PBEsol) data for LiAgAu2 after structural relaxation, as listed in Alexandria.

Cell lengths 3.958, 3.958, 4.042 Å; angles 90.00, 90.00, 90.00 degrees
Atoms (fractional coordinates):
Li (0.000, 0.000, 0.000)
Ag (0.500, 0.500, 0.000)
Au (0.000, 0.500, 0.500)
Au (0.500, 0.000, 0.500)

Final energy, eV/atom: -3.597
DOS at the Fermi energy, states/eV/atom: 0.231
Volume, Å³/atom: 15.83
Energy above the lowest structure with this stoichiometry, meV/atom: 0


3.
First-principles (GGA-PBEsol) data for TcHgMo2 after structural relaxation, as listed in Alexandria.

Cell lengths 4.885, 4.885, 4.885 Å; angles 132.08, 132.08, 70.10 degrees
Atoms (fractional coordinates):
Tc (0.000, 0.000, 0.000)
Hg (0.750, 0.250, 0.500)
Mo (0.250, 0.750, 0.500)
Mo (0.500, 0.500, 0.000)

Final energy, eV/atom: -8.403
DOS at the Fermi energy, states/eV/atom: 0.734
Volume, Å³/atom: 15.73


4.
First-principles (GGA-PBEsol) data for BeFe3Hg after structural relaxation, as listed in Alexandria.

Cell lengths 3.980, 3.980, 3.980 Å; angles 90.00, 90.00, 90.00 degrees
Atoms (fractional coordinates):
Be (0.000, 0.000, 0.000)
Fe (0.000, 0.000, 0.500)
Fe (0.000, 0.500, 0.000)
Fe (0.500, 0.000, 0.000)
Hg (0.500, 0.500, 0.500)

Final energy, eV/atom: -5.741
DOS at the Fermi energy, states/eV/atom: 0.808
Volume, Å³/atom: 12.61


5.
First-principles (GGA-PBEsol) data for P2RuW after structural relaxation, as listed in Alexandria.

Cell lengths 4.164, 4.164, 2.941 Å; angles 90.00, 90.00, 90.00 degrees
Atoms (fractional coordinates):
P (0.000, 0.500, 0.000)
P (0.500, 0.000, 0.000)
Ru (0.000, 0.000, 0.500)
W (0.500, 0.500, 0.500)

Final energy, eV/atom: -9.226
DOS at the Fermi energy, states/eV/atom: 0.429
Volume, Å³/atom: 12.75


6.
First-principles (GGA-PBEsol) data for Be2Ru after structural relaxation, as listed in Alexandria.

Cell lengths 6.150, 6.150, 3.107 Å; angles 90.00, 90.00, 150.09 degrees
Atoms (fractional coordinates):
Be (0.071, 0.929, 0.750)
Be (0.247, 0.753, 0.250)
Be (0.753, 0.247, 0.750)
Be (0.929, 0.071, 0.250)
Ru (0.402, 0.598, 0.750)
Ru (0.598, 0.402, 0.250)

Final energy, eV/atom: -6.306
DOS at the Fermi energy, states/eV/atom: 0.149
Volume, Å³/atom: 9.77
Energy above the lowest structure with this stoichiometry, meV/atom: 78


7.
First-principles (GGA-PBEsol) data for Al3Te after structural relaxation, as listed in Alexandria.

Cell lengths 4.333, 4.333, 4.333 Å; angles 90.00, 90.00, 90.00 degrees
Atoms (fractional coordinates):
Al (0.000, 0.000, 0.500)
Al (0.000, 0.500, 0.000)
Al (0.500, 0.000, 0.000)
Te (0.500, 0.500, 0.500)

Final energy, eV/atom: -3.725
DOS at the Fermi energy, states/eV/atom: 0.509
Volume, Å³/atom: 20.34
Energy above the lowest structure with this stoichiometry, meV/atom: 93


8.
First-principles (GGA-PBEsol) data for Ba2NaP after structural relaxation, as listed in Alexandria.

Cell lengths 7.746, 7.746, 7.746 Å; angles 107.56, 107.56, 113.36 degrees
Atoms (fractional coordinates):
Ba (0.055, 0.125, 0.430)
Ba (0.375, 0.945, 0.070)
Ba (0.695, 0.625, 0.570)
Ba (0.875, 0.305, 0.930)
Na (0.250, 0.750, 0.500)
Na (0.500, 0.500, 0.000)
P (0.000, 0.000, 0.000)
P (0.750, 0.250, 0.500)

Final energy, eV/atom: -3.226
DOS at the Fermi energy, states/eV/atom: 0.184
Volume, Å³/atom: 44.57


9.
First-principles (GGA-PBEsol) data for Al2In2I after structural relaxation, as listed in Alexandria.

Cell lengths 7.227, 7.227, 7.227 Å; angles 144.60, 144.60, 50.94 degrees
Atoms (fractional coordinates):
Al (0.100, 0.100, 0.000)
Al (0.900, 0.900, 0.000)
In (0.250, 0.750, 0.500)
In (0.750, 0.250, 0.500)
I (0.500, 0.500, 0.000)

Final energy, eV/atom: -3.034
DOS at the Fermi energy, states/eV/atom: 0.445
Volume, Å³/atom: 25.20


10.
First-principles (GGA-PBEsol) data for LiCoPO4 after structural relaxation, as listed in Alexandria.

Cell lengths 7.917, 5.245, 8.227 Å; angles 90.00, 105.39, 90.00 degrees
Atoms (fractional coordinates):
Li (0.000, 0.161, 0.000)
Li (0.000, 0.839, 0.500)
Li (0.493, 0.335, 0.309)
Li (0.493, 0.665, 0.809)
Co (0.375, 0.167, 0.930)
Co (0.375, 0.833, 0.430)
Co (0.893, 0.345, 0.626)
Co (0.893, 0.655, 0.126)
P (0.129, 0.331, 0.379)
P (0.129, 0.669, 0.879)
P (0.614, 0.163, 0.689)
P (0.614, 0.837, 0.189)
O (0.055, 0.200, 0.515)
O (0.055, 0.800, 0.015)
O (0.177, 0.387, 0.930)
O (0.177, 0.613, 0.430)
O (0.288, 0.177, 0.359)
O (0.288, 0.823, 0.859)
O (0.482, 0.309, 0.764)
O (0.482, 0.691, 0.264)
O (0.546, 0.112, 0.146)
O (0.546, 0.888, 0.646)
O (0.639, 0.300, 0.529)
O (0.639, 0.700, 0.029)
O (0.803, 0.173, 0.808)
O (0.803, 0.827, 0.308)
O (0.987, 0.331, 0.207)
O (0.987, 0.669, 0.707)

Final energy, eV/atom: -7.025
Volume, Å³/atom: 11.76
Energy above the lowest structure with this stoichiometry, meV/atom: 40


11.
First-principles (GGA-PBEsol) data for LiMoO2 after structural relaxation, as listed in Alexandria.

Cell lengths 5.579, 5.579, 5.579 Å; angles 28.59, 28.59, 28.59 degrees
Atoms (fractional coordinates):
Li (0.000, 0.000, 0.000)
Mo (0.500, 0.500, 0.500)
O (0.253, 0.253, 0.253)
O (0.747, 0.747, 0.747)

Final energy, eV/atom: -7.982
DOS at the Fermi energy, states/eV/atom: 0.246
Volume, Å³/atom: 8.78
Energy above the lowest structure with this stoichiometry, meV/atom: 0


12.
First-principles (GGA-PBEsol) data for Ba2AsSe after structural relaxation, as listed in Alexandria.

Cell lengths 5.598, 5.598, 5.598 Å; angles 60.00, 60.00, 60.00 degrees
Atoms (fractional coordinates):
Ba (0.250, 0.250, 0.250)
Ba (0.750, 0.750, 0.750)
As (0.000, 0.000, 0.000)
Se (0.500, 0.500, 0.500)

Final energy, eV/atom: -4.548
DOS at the Fermi energy, states/eV/atom: 1.413
Volume, Å³/atom: 31.01
Energy above the lowest structure with this stoichiometry, meV/atom: 117


13.
First-principles (GGA-PBEsol) data for LaAl2Cu2 after structural relaxation, as listed in Alexandria.

Cell lengths 5.752, 5.752, 5.752 Å; angles 135.48, 135.48, 64.79 degrees
Atoms (fractional coordinates):
La (0.000, 0.000, 0.000)
Al (0.366, 0.366, 0.000)
Al (0.634, 0.634, 0.000)
Cu (0.250, 0.750, 0.500)
Cu (0.750, 0.250, 0.500)

Final energy, eV/atom: -4.774
DOS at the Fermi energy, states/eV/atom: 0.718
Volume, Å³/atom: 18.45


14.
First-principles (GGA-PBEsol) data for CdHgO2 after structural relaxation, as listed in Alexandria.

Cell lengths 6.552, 6.552, 6.552 Å; angles 30.88, 30.88, 30.88 degrees
Atoms (fractional coordinates):
Cd (0.000, 0.000, 0.000)
Hg (0.500, 0.500, 0.500)
O (0.394, 0.394, 0.394)
O (0.606, 0.606, 0.606)

Final energy, eV/atom: -3.742
DOS at the Fermi energy, states/eV/atom: 0.049
Volume, Å³/atom: 16.43
Energy above the lowest structure with this stoichiometry, meV/atom: 0


15.
First-principles (GGA-PBEsol) data for ReBiSe3 after structural relaxation, as listed in Alexandria.

Cell lengths 4.855, 4.855, 4.855 Å; angles 90.00, 90.00, 90.00 degrees
Atoms (fractional coordinates):
Re (0.000, 0.000, 0.000)
Bi (0.500, 0.500, 0.500)
Se (0.000, 0.000, 0.500)
Se (0.000, 0.500, 0.000)
Se (0.500, 0.000, 0.000)

Final energy, eV/atom: -5.457
DOS at the Fermi energy, states/eV/atom: 1.356
Volume, Å³/atom: 22.89


16.
First-principles (GGA-PBEsol) data for Li2Pb after structural relaxation, as listed in Alexandria.

Cell lengths 4.860, 4.860, 3.180 Å; angles 90.00, 90.00, 90.00 degrees
Atoms (fractional coordinates):
Li (0.000, 0.500, 0.000)
Li (0.500, 0.000, 0.000)
Pb (0.000, 0.000, 0.500)

Final energy, eV/atom: -2.821
DOS at the Fermi energy, states/eV/atom: 0.234
Volume, Å³/atom: 25.04


17.
First-principles (GGA-PBEsol) data for TaReAu2 after structural relaxation, as listed in Alexandria.

Cell lengths 9.602, 9.602, 9.602 Å; angles 16.83, 16.83, 16.83 degrees
Atoms (fractional coordinates):
Ta (0.000, 0.000, 0.000)
Re (0.500, 0.500, 0.500)
Au (0.249, 0.249, 0.249)
Au (0.751, 0.751, 0.751)

Final energy, eV/atom: -8.168
DOS at the Fermi energy, states/eV/atom: 0.792
Volume, Å³/atom: 16.19
Energy above the lowest structure with this stoichiometry, meV/atom: 143


18.
First-principles (GGA-PBEsol) data for CuSe2Cl after structural relaxation, as listed in Alexandria.

Cell lengths 7.609, 4.773, 11.270 Å; angles 90.00, 115.60, 90.00 degrees
Atoms (fractional coordinates):
Cu (0.176, 0.148, 0.248)
Cu (0.176, 0.352, 0.748)
Cu (0.824, 0.648, 0.252)
Cu (0.824, 0.852, 0.752)
Se (0.295, 0.015, 0.650)
Se (0.295, 0.485, 0.150)
Se (0.420, 0.690, 0.847)
Se (0.420, 0.810, 0.347)
Se (0.580, 0.190, 0.653)
Se (0.580, 0.310, 0.153)
Se (0.705, 0.515, 0.850)
Se (0.705, 0.985, 0.350)
Cl (0.090, 0.101, 0.886)
Cl (0.090, 0.399, 0.386)
Cl (0.910, 0.601, 0.614)
Cl (0.910, 0.899, 0.114)

Final energy, eV/atom: -3.775
Volume, Å³/atom: 23.07
Energy above the lowest structure with this stoichiometry, meV/atom: 0


19.
First-principles (GGA-PBEsol) data for BaAl2 after structural relaxation, as listed in Alexandria.

Cell lengths 8.387, 8.387, 4.612 Å; angles 90.00, 90.00, 149.37 degrees
Atoms (fractional coordinates):
Ba (0.088, 0.912, 0.750)
Ba (0.912, 0.088, 0.250)
Al (0.252, 0.748, 0.250)
Al (0.347, 0.653, 0.750)
Al (0.653, 0.347, 0.250)
Al (0.748, 0.252, 0.750)

Final energy, eV/atom: -3.626
DOS at the Fermi energy, states/eV/atom: 0.343
Volume, Å³/atom: 27.55


20.
First-principles (GGA-PBEsol) data for Sm4CdPt after structural relaxation, as listed in Alexandria.

Cell lengths 9.708, 9.708, 9.708 Å; angles 60.00, 60.00, 60.00 degrees
Atoms (fractional coordinates):
Sm (0.186, 0.186, 0.814)
Sm (0.186, 0.814, 0.186)
Sm (0.186, 0.814, 0.814)
Sm (0.398, 0.398, 0.398)
Sm (0.398, 0.398, 0.805)
Sm (0.398, 0.805, 0.398)
Sm (0.558, 0.558, 0.942)
Sm (0.558, 0.942, 0.558)
Sm (0.558, 0.942, 0.942)
Sm (0.805, 0.398, 0.398)
Sm (0.814, 0.186, 0.186)
Sm (0.814, 0.186, 0.814)
Sm (0.814, 0.814, 0.186)
Sm (0.942, 0.558, 0.558)
Sm (0.942, 0.558, 0.942)
Sm (0.942, 0.942, 0.558)
Cd (0.170, 0.170, 0.170)
Cd (0.170, 0.170, 0.491)
Cd (0.170, 0.491, 0.170)
Cd (0.491, 0.170, 0.170)
Pt (0.180, 0.607, 0.607)
Pt (0.607, 0.180, 0.607)
Pt (0.607, 0.607, 0.180)
Pt (0.607, 0.607, 0.607)

Final energy, eV/atom: -5.313
DOS at the Fermi energy, states/eV/atom: 0.666
Volume, Å³/atom: 26.96


21.
First-principles (GGA-PBEsol) data for Mg7Pb6 after structural relaxation, as listed in Alexandria.

Cell lengths 11.110, 11.110, 11.110 Å; angles 31.43, 31.43, 31.43 degrees
Atoms (fractional coordinates):
Mg (0.000, 0.000, 0.000)
Mg (0.087, 0.087, 0.586)
Mg (0.087, 0.586, 0.087)
Mg (0.414, 0.913, 0.913)
Mg (0.586, 0.087, 0.087)
Mg (0.913, 0.414, 0.913)
Mg (0.913, 0.913, 0.414)
Pb (0.167, 0.167, 0.167)
Pb (0.343, 0.343, 0.343)
Pb (0.450, 0.450, 0.450)
Pb (0.550, 0.550, 0.550)
Pb (0.657, 0.657, 0.657)
Pb (0.833, 0.833, 0.833)

Final energy, eV/atom: -2.795
DOS at the Fermi energy, states/eV/atom: 0.406
Volume, Å³/atom: 25.46


22.
First-principles (GGA-PBEsol) data for YTaSe after structural relaxation, as listed in Alexandria.

Cell lengths 4.781, 4.781, 4.781 Å; angles 60.00, 60.00, 60.00 degrees
Atoms (fractional coordinates):
Y (0.000, 0.000, 0.000)
Ta (0.750, 0.750, 0.750)
Se (0.250, 0.250, 0.250)

Final energy, eV/atom: -6.818
DOS at the Fermi energy, states/eV/atom: 1.094
Volume, Å³/atom: 25.77


23.
First-principles (GGA-PBEsol) data for NaMg2Ti after structural relaxation, as listed in Alexandria.

Cell lengths 4.987, 4.987, 4.987 Å; angles 60.00, 60.00, 60.00 degrees
Atoms (fractional coordinates):
Na (0.000, 0.000, 0.000)
Mg (0.250, 0.250, 0.250)
Mg (0.750, 0.750, 0.750)
Ti (0.500, 0.500, 0.500)

Final energy, eV/atom: -2.818
DOS at the Fermi energy, states/eV/atom: 1.032
Volume, Å³/atom: 21.93


24.
First-principles (GGA-PBEsol) data for YTe2Se after structural relaxation, as listed in Alexandria.

Cell lengths 5.614, 5.614, 4.240 Å; angles 102.95, 102.95, 116.05 degrees
Atoms (fractional coordinates):
Y (0.000, 0.000, 0.000)
Te (0.000, 0.500, 0.500)
Te (0.500, 0.000, 0.500)
Se (0.500, 0.500, 0.000)

Final energy, eV/atom: -5.117
DOS at the Fermi energy, states/eV/atom: 0.482
Volume, Å³/atom: 27.20


25.
First-principles (GGA-PBEsol) data for B3TeS after structural relaxation, as listed in Alexandria.

Cell lengths 3.945, 3.945, 3.945 Å; angles 90.00, 90.00, 90.00 degrees
Atoms (fractional coordinates):
B (0.000, 0.000, 0.500)
B (0.000, 0.500, 0.000)
B (0.500, 0.000, 0.000)
Te (0.500, 0.500, 0.500)
S (0.000, 0.000, 0.000)

Final energy, eV/atom: -4.302
DOS at the Fermi energy, states/eV/atom: 0.407
Volume, Å³/atom: 12.28